Below is a relaxed LiReNi2 crystal, with properties calculated at the GGA-PBE level.

**Energy relative to the lowest polymorph listed for this composition**: 134 meV per atom
**Fermi-level density of states**: 5.00 states/eV/f.u.
**Volume**: 51.73 Å³/f.u.
**Space group**: No. 166
**DFT formation energy**: 0.140 eV/atom

```
LiReNi2
1.0
1.327 0.766 8.484
-1.327 0.766 8.484
0.000 -1.532 8.484
Li Re Ni
1 1 2
Direct
0.000 0.000 0.000
0.500 0.500 0.500
0.249 0.249 0.249
0.751 0.751 0.751
```


Below is a relaxed Ac2PbI crystal, with properties calculated at the GGA-PBE level.

**Energy relative to the lowest polymorph listed for this composition**: 0 meV per atom
**Fermi-level density of states**: 2.20 states/eV/f.u.
**Volume**: 161.79 Å³/f.u.
**Space group**: No. 166
**Uncorrected formation energy**: -78.4 kJ/mol of atoms

```
Ac2PbI
1.0
2.483 1.433 7.578
-2.483 1.433 7.578
0.000 -2.867 7.578
Ac Pb I
2 1 1
Direct
0.242 0.242 0.242
0.758 0.758 0.758
0.500 0.500 0.500
0.000 0.000 0.000
```


Below is a relaxed Ta2IBr8 crystal, with properties calculated at the GGA-PBE level.

**Fermi-level density of states**: 2.18 states/eV/f.u.
**Volume**: 467.79 Å³/f.u.
**Space group**: No. 12
**Uncorrected formation energy**: -74.7 kJ/mol of atoms

```
Ta2IBr8
1.0
4.390 -6.149 0.000
4.390 6.149 0.000
-0.537 0.000 8.665
Ta I Br
2 1 8
Direct
0.116 0.116 0.188
0.884 0.884 0.812
0.000 0.000 0.500
0.116 0.717 0.803
0.193 0.193 0.910
0.283 0.884 0.197
0.380 0.380 0.295
0.620 0.620 0.705
0.717 0.116 0.803
0.807 0.807 0.090
0.884 0.283 0.197
```


Below is a relaxed LaPr4Sb2 crystal, with properties calculated at the GGA-PBE level.

**Fermi-level density of states**: 7.84 states/eV/f.u.
**Volume**: 251.09 Å³/f.u.
**Space group**: No. 139
**Uncorrected formation energy**: 7.0 kJ/mol of atoms

```
LaPr4Sb2
1.0
-2.733 2.733 8.407
2.733 -2.733 8.407
2.733 2.733 -8.407
La Pr Sb
1 4 2
Direct
0.000 0.000 0.000
0.000 0.500 0.500
0.182 0.182 0.000
0.500 0.000 0.500
0.818 0.818 0.000
0.367 0.367 0.000
0.633 0.633 0.000
```


Below is a relaxed La2PrYSc crystal, with properties calculated at the GGA-PBE level.

**Fermi-level density of states**: 7.11 states/eV/f.u.
**Volume**: 176.93 Å³/f.u.
**Space group**: No. 63
**DFT formation energy**: 0.335 eV/atom

```
La2PrYSc
1.0
4.155 -5.839 0.000
4.155 5.839 0.000
0.000 0.000 7.294
La Pr Y Sc
4 2 2 2
Direct
0.200 0.200 0.000
0.200 0.200 0.500
0.800 0.800 0.000
0.800 0.800 0.500
0.225 0.775 0.750
0.775 0.225 0.250
0.253 0.747 0.250
0.747 0.253 0.750
0.481 0.519 0.750
0.519 0.481 0.250
```


Below is a relaxed Mg4HIr crystal, with properties calculated at the GGA-PBE level.

**Energy relative to the lowest polymorph listed for this composition**: 74 meV per atom
**Fermi-level density of states**: 1.64 states/eV/f.u.
**Volume**: 101.83 Å³/f.u.
**Space group**: No. 1

```
Mg4HIr
1.0
3.146 0.000 0.000
-1.566 5.447 0.000
-1.549 -0.830 5.943
Mg H Ir
4 1 1
Direct
0.000 0.000 0.000
0.126 0.631 0.616
0.351 0.554 0.150
0.782 0.099 0.460
0.374 0.021 0.722
0.571 0.328 0.812
```


Below is a relaxed KMg6B crystal, with properties calculated at the GGA-PBE level.

**Energy relative to the lowest polymorph listed for this composition**: 65 meV per atom
**Fermi-level density of states**: 3.58 states/eV/f.u.
**Volume**: 207.11 Å³/f.u.
**Space group**: No. 38
**DFT formation energy**: 0.359 eV/atom

```
KMg6B
1.0
3.913 0.000 0.000
0.000 3.562 7.430
0.000 -3.562 7.430
K Mg B
1 6 1
Direct
0.000 0.000 0.000
0.000 0.516 0.914
0.000 0.914 0.516
0.500 0.173 0.558
0.500 0.195 0.195
0.500 0.558 0.173
0.500 0.570 0.570
0.000 0.292 0.292
```


Below is a relaxed TcIr2Pt crystal, with properties calculated at the GGA-PBE level.

**Energy relative to the lowest polymorph listed for this composition**: 84 meV per atom
**Fermi-level density of states**: 5.28 states/eV/f.u.
**Volume**: 58.91 Å³/f.u.
**Space group**: No. 119
**DFT formation energy**: -0.057 eV/atom

```
TcIr2Pt
1.0
-1.934 1.934 3.939
1.934 -1.934 3.939
1.934 1.934 -3.939
Tc Ir Pt
1 2 1
Direct
0.000 0.000 0.000
0.500 0.500 0.000
0.750 0.250 0.500
0.250 0.750 0.500
```


no.,total magnetization (μB/f.u.)
1,0.0
2,0.0
3,0.8
4,0.0
5,0.0
6,0.0
7,0.0
8,0.0